No. 1
Mn4NiPt5 | GGA-PBE | relaxed

Cell: 3.5306 2.8996 14.3612 Å, 90.00 90.00 90.00°
Last column: nearest neighbours and their distance in Å.
Sites, in units of the cell vectors:
Mn 0.0000 0.0000 0.8101  8 Pt 2.66-2.74, 1 Ni 2.73, 3 Mn 2.90-2.97
Mn 0.0000 0.0000 0.1899  8 Pt 2.66-2.74, 1 Ni 2.73, 3 Mn 2.90-2.97
Mn 0.0000 0.0000 0.6032  8 Pt 2.71-2.72, 4 Mn 2.90-2.97
Mn 0.0000 0.0000 0.3968  8 Pt 2.71-2.72, 4 Mn 2.90-2.97
Pt 0.5000 0.5000 0.2957  8 Mn 2.71-2.74, 4 Pt 2.87-2.93
Pt 0.5000 0.5000 0.5000  8 Mn 2.72, 4 Pt 2.90-2.93
Pt 0.5000 0.5000 0.7043  8 Mn 2.71-2.74, 4 Pt 2.87-2.93
Pt 0.5000 0.5000 0.9045  4 Mn 2.66, 4 Ni 2.66, 4 Pt 2.74-2.90
Pt 0.5000 0.5000 0.0955  4 Mn 2.66, 4 Ni 2.66, 4 Pt 2.74-2.90
Ni 0.0000 0.0000 0.0000  8 Pt 2.66, 2 Mn 2.73, 2 Ni 2.90

Output
Crystal system: orthorhombic
Total energy: -7.589 eV per atom
M_tot: 1.667 μB/atom

No. 2
MnNiPt2 | GGA-PBE | relaxed

Cell: 4.6368 4.6368 4.7244 Å, 79.53 79.53 35.09°
Last column: nearest neighbours and their distance in Å.
Sites, in units of the cell vectors:
Pt 0.9990 0.9990 0.0048  3 Ni 2.68-2.69, 3 Mn 2.70, 6 Pt 2.71-2.80
Pt 0.5010 0.5010 0.4952  3 Ni 2.68-2.69, 3 Mn 2.70, 6 Pt 2.71-2.80
Mn 0.7500 0.7500 0.7500  6 Pt 2.70, 4 Ni 2.74, 2 Mn 2.80
Ni 0.2500 0.2500 0.2500  6 Pt 2.68-2.69, 4 Mn 2.74, 2 Ni 2.80

Output
Crystal system: monoclinic
Total energy: -6.946 eV per atom
M_tot: 1.274 μB/atom